A relaxed structure of Y2NiBAu. Source: Alexandria, functional PBE-GGA.

Results
DFT formation energy = -486.4 meV per atom
Fermi-level density of states = 3.6 states/eV/f.u.

Structure (POSCAR):
```
Y2NiBAu
1.0
5.102 0.000 0.000
0.000 5.102 0.000
0.000 0.000 3.769
Y B Au Ni
2 1 1 1
Direct
0.500 0.000 0.000
0.000 0.500 0.000
0.000 0.000 0.000
0.500 0.500 0.500
0.000 0.000 0.500
```



A relaxed structure of BAuO3. Source: Alexandria, functional PBE-GGA.

Results
Formation energy (no corrections) = 1.373 eV per atom
Fermi-level density of states = 4.7 states/eV/f.u.

Structure (POSCAR):
```
BAuO3
1.0
-0.128 3.269 2.257
-3.482 0.994 -1.637
-1.911 -2.030 2.832
Au O B
1 3 1
Direct
0.000 0.000 0.000
0.000 0.500 0.000
0.500 0.000 0.000
0.000 0.000 0.500
0.500 0.500 0.500
```



A relaxed structure of BAuO3. Source: Alexandria, functional PBE-GGA.

Results
Formation energy (no corrections) = 0.124 eV per atom
Fermi-level density of states = 1.9 states/eV/f.u.

Structure (POSCAR):
```
BAuO3
1.0
-0.531 -3.386 -0.550
1.812 0.196 -2.954
2.913 -0.739 1.737
B O Au
1 3 1
Direct
0.000 0.000 0.000
0.500 0.000 0.000
0.000 0.000 0.500
0.000 0.500 0.000
0.500 0.500 0.500
```



Repeat the second record exactly.
A relaxed structure of BAuO3. Source: Alexandria, functional PBE-GGA.

Results
Formation energy (no corrections) = 1.373 eV per atom
Fermi-level density of states = 4.7 states/eV/f.u.

Structure (POSCAR):
```
BAuO3
1.0
-0.128 3.269 2.257
-3.482 0.994 -1.637
-1.911 -2.030 2.832
Au O B
1 3 1
Direct
0.000 0.000 0.000
0.000 0.500 0.000
0.500 0.000 0.000
0.000 0.000 0.500
0.500 0.500 0.500
```



Which formula does entry 3 have? BAuO3



Number 3 is which compound? BAuO3



Number 1 is which compound? Y2NiBAu